NaLa2Co2O6: optimized geometry, GGA+U.

Unit cell a=6.795 b=6.795 c=6.795 alpha=51.31 beta=51.31 gamma=51.31
Positions (direct):
Na 0.000 0.000 0.000
La 0.194 0.194 0.194
La 0.806 0.806 0.806
Co 0.421 0.421 0.421
Co 0.579 0.579 0.579
O 0.216 0.743 0.743
O 0.257 0.257 0.784
O 0.257 0.784 0.257
O 0.743 0.216 0.743
O 0.743 0.743 0.216
O 0.784 0.257 0.257

## Properties
E_tot = -6.4733 eV/atom
space group = R-3m (166)